Record 1
DFT (PBE) results for an optimized crystal structure of FePdSe2I.

The space group is P4/mmm (No. 123) and the conventional cell measures 4.920, 4.920 and 5.125 Å, with angles of 90.00, 90.00 and 90.00 degrees. The inequivalent atoms are Fe at (0.000, 0.000, 0.000), Pd at (0.000, 0.000, 0.500), Se at (0.000, 0.500, 0.500) and I at (0.500, 0.500, 0.000).

The density of states at the Fermi level comes out at 8.6 states/eV/cell. As for the magnetic moment: 3.8 μB/f.u. For the formation energy (no corrections), the calculation gives 63.13 kJ per mole of atoms. As for the crystal system: tetragonal.

Record 2
DFT (PBE) results for an optimized crystal structure of TmTh2In2Ag2.

The space group is R-3m (No. 166, hexagonal axes) and the conventional cell measures 4.8538, 4.8538 and 26.8151 Å, with angles of 90.00, 90.00 and 120.00 degrees. The inequivalent atoms are Tm at (0.0000, 0.0000, 0.0000), Th at (0.0000, 0.0000, 0.1279), In at (0.0000, 0.0000, 0.2677) and Ag at (0.0000, 0.0000, 0.3914).

The density of states at the Fermi level comes out at 13.3 states/eV/cell. As for the magnetic moment: 0.0 μB/f.u. For the energy relative to the elements, the calculation gives -122 meV per atom. As for the crystal system: trigonal.

Record 3
DFT (PBE) results for an optimized crystal structure of Zr2CrSb.

The space group is Immm (No. 71) and the conventional cell measures 4.234, 4.394 and 8.782 Å, with angles of 90.00, 90.00 and 90.00 degrees. The inequivalent atoms are Zr at (0.000, 0.000, 0.246), Cr at (0.000, 0.500, 0.500) and Sb at (0.000, 0.500, 0.000).

The density of states at the Fermi level comes out at 5.5 states/eV/cell. As for the magnetic moment: 3.0 μB/f.u. For the formation energy (no corrections), the calculation gives -16.29 kJ per mole of atoms. As for the crystal system: orthorhombic.

Record 4
DFT (PBE) results for an optimized crystal structure of FeCo2Se.

The space group is I4/mmm (No. 139) and the conventional cell measures 3.797, 3.797 and 6.851 Å, with angles of 90.00, 90.00 and 90.00 degrees. The inequivalent atoms are Fe at (0.000, 0.000, 0.000), Co at (0.000, 0.500, 0.250) and Se at (0.000, 0.000, 0.500).

The density of states at the Fermi level comes out at 7.0 states/eV/cell. As for the magnetic moment: 5.4 μB/f.u. For the formation energy (no corrections), the calculation gives 21.15 kJ per mole of atoms. As for the crystal system: tetragonal.

Record 5
DFT (PBE) results for an optimized crystal structure of Tb2Pm5Cd.

The space group is I4mm (No. 107) and the conventional cell measures 7.141, 7.141 and 9.954 Å, with angles of 90.00, 90.00 and 90.00 degrees. The inequivalent atoms are Tb at (0.000, 0.500, 0.000), Pm at (0.000, 0.000, 0.000), Pm at (0.250, 0.250, 0.250) and Cd at (0.000, 0.000, 0.500).

The calculation puts the energy relative to the lowest polymorph listed for this composition at 22 meV per atom. The density of states at the Fermi level comes out at 15.5 states/eV/cell. As for the magnetic moment: 0.0 μB/f.u. For the energy relative to the elements, the calculation gives -32 meV per atom. As for the crystal system: tetragonal.

Record 6
DFT (PBE) results for an optimized crystal structure of Ge2Pb2Se5.

The space group is C2/m (No. 12) and the conventional cell measures 13.764, 5.528 and 7.251 Å, with angles of 90.00, 112.81 and 90.00 degrees. The inequivalent atoms are Ge at (0.152, 0.000, 0.372), Pb at (0.119, 0.500, 0.793), Se at (0.000, 0.000, 0.500), Se at (0.148, 0.000, 0.030) and Se at (0.157, 0.500, 0.406).

The density of states at the Fermi level comes out at 1.3 states/eV/cell. As for the magnetic moment: 0.0 μB/f.u. For the formation energy (no corrections), the calculation gives -28.28 kJ per mole of atoms. As for the crystal system: monoclinic.

> What is the formula in the fourth record?

FeCo2Se